# 1
Y7Er3Th2, relaxed, DFT PBE-GGA; DFT total energy = -6.136 eV/atom; total magnetic moment = 0.00 μB/cell; ΔE_f = 0.012 eV/atom
1.0
3.4878 -0.0364 -0.7973
0.0558 6.1642 -0.0423
-1.3856 -0.9448 18.0630
Y Th Er
7 2 3
Direct
0.7478 0.6342 0.8323
0.0000 0.0000 0.0000
0.2529 0.2570 0.5020
0.7522 0.8609 0.1676
0.2522 0.3658 0.1677
0.7471 0.7430 0.4980
0.2478 0.1391 0.8324
0.0021 0.4420 0.6683
0.9979 0.5580 0.3317
0.5005 0.9450 0.6672
0.5000 0.5000 0.0000
0.4995 0.0550 0.3328

# 2
YEr14Th, relaxed, DFT PBE-GGA; DFT total energy = -4.802 eV/atom; total magnetic moment = 0.00 μB/cell; ΔE_f = 0.058 eV/atom
1.0
6.8725 -0.0850 0.0000
-1.9986 6.5760 0.0000
0.0000 0.0000 10.9842
Er Y Th
14 1 1
Direct
0.2129 0.3766 0.5000
0.5572 0.4428 0.0000
0.6234 0.7871 0.5000
0.4126 0.1653 0.2497
0.9047 0.0953 0.7332
0.8347 0.5874 0.2497
0.3454 0.6546 0.2322
0.4126 0.1653 0.7503
0.3454 0.6546 0.7678
0.6317 0.9596 0.0000
0.9047 0.0953 0.2668
0.1100 0.8900 0.0000
0.8347 0.5874 0.7503
0.0404 0.3683 0.0000
0.6967 0.3033 0.5000
0.1328 0.8672 0.5000

# 3
Y2Er5Th, relaxed, DFT PBE-GGA; DFT total energy = -5.365 eV/atom; total magnetic moment = 0.00 μB/cell; ΔE_f = 0.030 eV/atom
1.0
4.9998 0.0000 0.0000
0.0000 7.0658 0.0000
0.0000 0.0000 14.1624
Er Y Th
10 4 2
Direct
0.5000 0.2447 0.3764
0.0000 0.4986 0.2491
0.5000 0.2553 0.8764
0.5000 0.7553 0.6236
0.0000 0.9986 0.2509
0.5000 0.7447 0.1236
0.0000 0.0014 0.7491
0.0000 0.5000 0.5000
0.0000 0.5014 0.7509
0.0000 0.0000 0.0000
0.5000 0.2533 0.1236
0.5000 0.2467 0.6236
0.5000 0.7533 0.3764
0.5000 0.7467 0.8764
0.0000 0.0000 0.5000
0.0000 0.5000 0.0000

# 4
Y3Er8Th3, relaxed, DFT PBE-GGA; DFT total energy = -5.427 eV/atom; total magnetic moment = 0.00 μB/cell; ΔE_f = 0.156 eV/atom
1.0
5.4974 0.0000 1.1048
2.6983 9.1434 0.8032
1.0528 -3.0961 8.9907
Y Th Er
3 3 8
Direct
0.8060 0.1940 0.1940
0.1940 0.8060 0.8060
0.5000 0.5000 0.5000
0.0000 0.8142 0.1858
0.5000 0.0000 0.0000
0.0000 0.1858 0.8142
0.3421 0.4328 0.8830
0.1576 0.4456 0.2392
0.6579 0.5672 0.1170
0.8424 0.5544 0.7608
0.6579 0.1170 0.5672
0.3421 0.8830 0.4328
0.8424 0.7608 0.5544
0.1576 0.2392 0.4456

# 5
Y4Er19Th6, relaxed, DFT PBE-GGA; DFT total energy = -4.987 eV/atom; total magnetic moment = 0.00 μB/cell; ΔE_f = 0.429 eV/atom
1.0
-2.1154 8.9813 -5.4734
-8.1976 -6.8407 -1.0468
1.3750 2.3729 10.3712
Er Y Th
19 4 6
Direct
0.1906 0.2099 0.5327
0.3421 0.0192 0.8094
0.8094 0.3421 0.0192
0.7355 0.0000 0.7355
0.3229 0.7901 0.9808
0.7901 0.9808 0.3229
0.5327 0.1906 0.2099
0.0000 0.0000 0.0000
0.6579 0.4673 0.6771
0.2645 0.0000 0.2645
0.4673 0.6771 0.6579
0.6771 0.6579 0.4673
0.0192 0.8094 0.3421
0.2645 0.2645 0.0000
0.7355 0.7355 0.0000
0.0000 0.7355 0.7355
0.2099 0.5327 0.1906
0.0000 0.2645 0.2645
0.9808 0.3229 0.7901
0.0000 0.6438 0.0000
0.0000 0.0000 0.6438
0.3562 0.3562 0.3562
0.6438 0.0000 0.0000
0.8700 0.3700 0.5000
0.6300 0.5000 0.1300
0.3700 0.5000 0.8700
0.5000 0.8700 0.3700
0.5000 0.1300 0.6300
0.1300 0.6300 0.5000

# 6
YEr3Th2, relaxed, DFT PBE-GGA; DFT total energy = -5.719 eV/atom; total magnetic moment = 0.00 μB/cell; ΔE_f = 0.113 eV/atom
1.0
-0.9739 6.7374 6.9686
-6.5739 -0.6647 -0.2688
3.1814 -3.9355 4.2569
Y Th Er
2 4 6
Direct
0.7500 0.3759 0.6241
0.2500 0.6241 0.3759
0.5743 0.8732 0.6286
0.4257 0.1268 0.3714
0.9257 0.3714 0.1268
0.0743 0.6286 0.8732
0.0904 0.1208 0.3793
0.2500 0.1248 0.8752
0.5904 0.3793 0.1208
0.4096 0.6207 0.8792
0.7500 0.8752 0.1248
0.9096 0.8792 0.6207

# 7
YEr12Th5, relaxed, DFT PBE-GGA; DFT total energy = -5.423 eV/atom; total magnetic moment = 0.00 μB/cell; ΔE_f = 0.039 eV/atom
1.0
-8.4498 -1.0056 -6.2644
0.0523 -7.1467 -7.8349
-3.1421 -2.4836 4.6367
Er Th Y
12 5 1
Direct
0.3366 0.0000 0.0000
0.8324 0.6671 0.4995
0.0017 0.6649 0.0019
0.8338 0.0000 0.5001
0.9983 0.3351 0.9981
0.4995 0.3330 0.5003
0.6634 0.0000 0.0000
0.1676 0.3330 0.5005
0.5005 0.6670 0.4997
0.1662 0.0000 0.4999
0.6666 0.3352 0.9979
0.3334 0.6649 0.0021
0.3334 0.3334 0.0015
0.8326 0.3348 0.5060
0.1674 0.6652 0.4940
0.5000 0.0000 0.5000
0.6666 0.6667 0.9985
0.0000 0.0000 0.0000

# 8
Y5Er12Th2, relaxed, DFT PBE-GGA; DFT total energy = -5.217 eV/atom; total magnetic moment = 0.00 μB/cell; ΔE_f = 0.146 eV/atom
1.0
-4.0944 1.0518 8.2712
9.4522 -7.7918 0.4540
-0.4222 8.3604 -1.2721
Er Y Th
12 5 2
Direct
0.6679 0.6952 0.9392
0.4444 0.8887 0.2159
0.5556 0.1113 0.7841
0.3322 0.3048 0.0608
0.9727 0.3048 0.0608
0.9144 0.8287 0.7120
0.1796 0.7444 0.4042
0.8204 0.2556 0.5958
0.4352 0.2556 0.5958
0.0856 0.1713 0.2880
0.5648 0.7444 0.4042
0.0273 0.6952 0.9392
0.7663 0.5326 0.1070
0.3024 0.6048 0.6187
0.0000 0.0000 0.5000
0.6976 0.3952 0.3813
0.2337 0.4674 0.8930
0.3211 0.0000 0.0000
0.6789 0.0000 0.0000

# 9
Y4Er3Th2, relaxed, DFT PBE-GGA; DFT total energy = -6.016 eV/atom; total magnetic moment = 0.00 μB/cell; ΔE_f = 0.027 eV/atom
1.0
-2.4451 -0.0978 -2.5919
3.3752 -5.1184 -0.5398
-6.2171 -12.1086 6.3219
Er Y Th
3 4 2
Direct
0.6709 0.3417 0.4391
0.3291 0.6583 0.5609
0.0000 0.0000 0.0000
0.0009 0.0018 0.6668
0.3340 0.6681 0.8851
0.9991 0.9982 0.3332
0.6660 0.3319 0.1149
0.6652 0.3305 0.7785
0.3348 0.6695 0.2215

# 10
YEr8Th4, relaxed, DFT PBE-GGA; DFT total energy = -5.358 eV/atom; total magnetic moment = 0.00 μB/cell; ΔE_f = 0.230 eV/atom
1.0
-6.2324 -1.9195 3.3962
0.9289 -1.5455 -7.1281
7.4038 -5.9627 2.2576
Y Th Er
1 4 8
Direct
0.0000 0.5000 0.5000
0.5000 0.5000 0.0000
0.0000 0.5000 0.0000
0.5000 0.0000 0.0000
0.0000 0.0000 0.0000
0.4976 0.2488 0.3091
0.4403 0.2202 0.6605
0.9397 0.7512 0.6909
0.9397 0.1885 0.6909
0.5024 0.7512 0.6909
0.5597 0.7798 0.3395
0.0603 0.8115 0.3091
0.0603 0.2488 0.3091

# 11
Y2Er12Th5, relaxed, DFT PBE-GGA; DFT total energy = -5.294 eV/atom; total magnetic moment = 0.00 μB/cell; ΔE_f = 0.221 eV/atom
1.0
6.9976 0.0000 0.0000
-3.4988 8.8448 2.8197
0.0000 0.9685 10.1485
Er Th Y
12 5 2
Direct
0.9711 0.9421 0.2402
0.4961 0.9923 0.3254
0.9113 0.3145 0.1367
0.4032 0.3145 0.1367
0.0823 0.6670 0.5167
0.0289 0.0579 0.7598
0.5968 0.6855 0.8633
0.0887 0.6855 0.8633
0.5039 0.0077 0.6746
0.4153 0.3330 0.4833
0.5847 0.6670 0.5167
0.9177 0.3330 0.4833
0.0000 0.0000 0.5000
0.6800 0.3601 0.7891
0.8128 0.6255 0.1812
0.1872 0.3745 0.8188
0.3200 0.6399 0.2109
0.7185 0.0000 0.0000
0.2815 0.0000 0.0000

# 12
YEr12Th3, relaxed, DFT PBE-GGA; DFT total energy = -5.183 eV/atom; total magnetic moment = 0.00 μB/cell; ΔE_f = 0.034 eV/atom
1.0
-0.2023 -1.7695 4.6652
0.7065 -4.6321 -1.7263
19.6599 2.3489 1.7435
Er Th Y
12 3 1
Direct
0.5000 0.0000 0.6246
0.5000 0.5000 0.2500
0.5000 0.5000 0.7500
0.0000 0.5000 0.3754
0.5000 0.5000 0.5000
0.5000 0.0000 0.8735
0.5000 0.5000 0.0000
0.5000 0.0000 0.3754
0.0000 0.5000 0.6246
0.0000 0.5000 0.8735
0.5000 0.0000 0.1265
0.0000 0.5000 0.1265
0.0000 0.0000 0.7490
0.0000 0.0000 0.5000
0.0000 0.0000 0.2510
0.0000 0.0000 0.0000